DFT (GGA-PBEsol) results for a relaxed Sr3SiAs crystal.

**ρ**: 3.15 g/cm³
**Total energy**: -3.5832 eV per atom

Cell: 5.7750 5.7750 5.7750 Å, 90.00 90.00 90.00°
Space group Pm-3m (No. 221)
Inequivalent atoms, fractional coordinates:
Sr1 0.0000 0.0000 0.5000 x3
Si1 0.5000 0.5000 0.5000 x1
As1 0.0000 0.0000 0.0000 x1

---

DFT (GGA-PBEsol) results for a relaxed SrSiAs2 crystal.

**ρ**: 4.90 g/cm³
**Total energy**: -4.7872 eV per atom

Cell: 3.8234 3.8234 21.3079 Å, 90.00 90.00 120.00°
Space group R-3m (No. 166, hexagonal axes)
Inequivalent atoms, fractional coordinates:
Sr1 0.0000 0.0000 0.0000 x3
Si1 0.0000 0.0000 0.5000 x3
As1 0.0000 0.0000 0.2296 x6

---

DFT (GGA-PBEsol) results for a relaxed SrSiAs2 crystal.

**ρ**: 4.97 g/cm³
**Total energy**: -4.6685 eV per atom

Cell: 3.5678 4.6954 10.6008 Å, 90.00 90.00 90.00°
Space group Imm2 (No. 44)
Inequivalent atoms, fractional coordinates:
Sr1 0.0000 0.0000 0.0000 x2
Si1 0.0000 0.5000 0.2474 x2
As1 0.0000 0.0000 0.5849 x2
As2 0.0000 0.5000 0.7691 x2

---

DFT (GGA-PBEsol) results for a relaxed SrSiTeAs2 crystal.

**ρ**: 5.14 g/cm³
**Total energy**: -4.4408 eV per atom

Cell: 4.8556 4.8556 5.3835 Å, 90.00 90.00 90.00°
Space group P4/mmm (No. 123)
Inequivalent atoms, fractional coordinates:
Sr1 0.0000 0.0000 0.0000 x1
Si1 0.5000 0.5000 0.5000 x1
Te1 0.5000 0.5000 0.0000 x1
As1 0.0000 0.5000 0.5000 x2

---

DFT (GGA-PBEsol) results for a relaxed TaSiAs2 crystal.

**ρ**: 9.22 g/cm³
**Total energy**: -6.9049 eV per atom

Cell: 4.4750 4.4750 3.2272 Å, 90.00 90.00 90.00°
Space group P4/mmm (No. 123)
Inequivalent atoms, fractional coordinates:
Ta1 0.0000 0.0000 0.0000 x1
Si1 0.5000 0.5000 0.0000 x1
As1 0.0000 0.5000 0.5000 x2

---

DFT (GGA-PBEsol) results for a relaxed TaSi2As crystal.

**ρ**: 7.95 g/cm³
**Total energy**: -7.1233 eV per atom

Cell: 2.8649 2.8649 27.4908 Å, 90.00 90.00 120.00°
Space group R-3m (No. 166, hexagonal axes)
Inequivalent atoms, fractional coordinates:
Ta1 0.0000 0.0000 0.0000 x3
Si1 0.0000 0.0000 0.2550 x6
As1 0.0000 0.0000 0.5000 x3

---

DFT (GGA-PBEsol) results for a relaxed Ta4SiAs crystal.

**ρ**: 12.55 g/cm³
**Total energy**: -9.6222 eV per atom

Cell: 7.5924 7.5924 7.5924 Å, 90.00 90.00 90.00°
Space group F-43m (No. 216)
Inequivalent atoms, fractional coordinates:
Ta1 0.1245 0.1245 0.1245 x16
Si1 0.2500 0.2500 0.7500 x4
As1 0.0000 0.0000 0.5000 x4

---

DFT (GGA-PBEsol) results for a relaxed TaSi2As crystal.

**ρ**: 8.12 g/cm³
**Total energy**: -7.1597 eV per atom

Cell: 3.6034 4.5854 7.7206 Å, 90.00 90.00 90.00°
Space group Cmmm (No. 65)
Inequivalent atoms, fractional coordinates:
Ta1 0.0000 0.0000 0.0000 x2
Si1 0.0000 0.5000 0.2418 x4
As1 0.0000 0.0000 0.5000 x2

---

DFT (GGA-PBEsol) results for a relaxed TaSi2As crystal.

**ρ**: 8.46 g/cm³
**Total energy**: -7.1480 eV per atom

Cell: 3.7698 3.7698 8.6207 Å, 90.00 90.00 90.00°
Space group I4/mmm (No. 139)
Inequivalent atoms, fractional coordinates:
Ta1 0.0000 0.0000 0.0000 x2
Si1 0.0000 0.5000 0.2500 x4
As1 0.0000 0.0000 0.5000 x2

---

DFT (GGA-PBEsol) results for a relaxed TaSiAs2 crystal.

**ρ**: 8.70 g/cm³
**Total energy**: -7.2166 eV per atom

Cell: 4.4368 3.4051 9.0712 Å, 90.00 90.00 90.00°
Space group Amm2 (No. 38)
Inequivalent atoms, fractional coordinates:
Ta1 0.0000 0.0000 0.0000 x2
Si1 0.5000 0.0000 0.4213 x2
As1 0.0000 0.0000 0.7174 x2
As2 0.5000 0.0000 0.1487 x2

---

DFT (GGA-PBEsol) results for a relaxed TaSiAs2 crystal.

**ρ**: 9.11 g/cm³
**Total energy**: -6.9206 eV per atom

Cell: 3.8458 3.8458 8.8455 Å, 90.00 90.00 90.00°
Space group I-4m2 (No. 119)
Inequivalent atoms, fractional coordinates:
Ta1 0.0000 0.0000 0.0000 x2
Si1 0.0000 0.5000 0.7500 x2
As1 0.0000 0.0000 0.5000 x2
As2 0.0000 0.5000 0.2500 x2

---

DFT (GGA-PBEsol) results for a relaxed TaSiAs crystal.

**ρ**: 9.92 g/cm³
**Total energy**: -8.3897 eV per atom

Cell: 3.4790 3.4790 7.8531 Å, 90.00 90.00 90.00°
Space group P4/nmm (No. 129, origin choice 2)
Inequivalent atoms, fractional coordinates:
Ta1 0.2500 0.2500 0.2455 x2
Si1 0.2500 0.7500 0.5000 x2
As1 0.2500 0.2500 0.8894 x2

---

Question: What is the ρ in the tenth record?
Answer: 8.70 g/cm³

---

Question: Look up the ρ of the fifth one.
Answer: 9.22 g/cm³